A plane-wave DFT calculation with GGA-PBE was carried out for an optimized crystal structure of TmSc2Ag.

a b c (Å): 11.1495 11.1495 11.1495
angles (deg): 16.62 16.62 16.62
Fractional positions:
Tm (0.0000, 0.0000, 0.0000)
Sc (0.0962, 0.0962, 0.0962)
Sc (0.9038, 0.9038, 0.9038)
Ag (0.5000, 0.5000, 0.5000)

Values from the calculation:
- DFT total energy: -4.77 eV/atom
- Excess energy over the best structure of this formula in the dataset: 331 meV per atom
- E_form: 0.224 eV/atom

A plane-wave DFT calculation with GGA-PBE was carried out for an optimized crystal structure of Ca2MgCrCl.

a b c (Å): 5.3589 5.3589 5.1079
angles (deg): 90.00 90.00 90.00
Fractional positions:
Ca (0.0000, 0.5000, 0.0000)
Ca (0.5000, 0.0000, 0.0000)
Mg (0.0000, 0.0000, 0.5000)
Cr (0.5000, 0.5000, 0.5000)
Cl (0.0000, 0.0000, 0.0000)

Values from the calculation:
- ΔE_f (raw): -0.0264 eV per atom
- DFT total energy: -3.44 eV/atom

A plane-wave DFT calculation with GGA-PBE was carried out for an optimized crystal structure of KIr.

a b c (Å): 6.1596 6.1596 4.2988
angles (deg): 90.00 90.00 128.76
Fractional positions:
K (0.1412, 0.8588, 0.7500)
K (0.8588, 0.1412, 0.2500)
Ir (0.4573, 0.5427, 0.7500)
Ir (0.5427, 0.4573, 0.2500)

Values from the calculation:
- DFT total energy: -4.41 eV/atom
- Excess energy over the best structure of this formula in the dataset: 201 meV per atom
- E_form: 0.566 eV/atom

A plane-wave DFT calculation with GGA-PBE was carried out for an optimized crystal structure of Pm5Dy4Th2.

a b c (Å): 13.3454 13.3454 13.3454
angles (deg): 165.22 139.27 43.55
Fractional positions:
Pm (0.0000, 0.0000, 0.0000)
Pm (0.1642, 0.3435, 0.8207)
Pm (0.4772, 0.6565, 0.8207)
Pm (0.5228, 0.3435, 0.1793)
Pm (0.8358, 0.6565, 0.1793)
Dy (0.2392, 0.7392, 0.5000)
Dy (0.3181, 0.5000, 0.8181)
Dy (0.6819, 0.5000, 0.1819)
Dy (0.7608, 0.2608, 0.5000)
Th (0.1080, 0.6080, 0.5000)
Th (0.8920, 0.3920, 0.5000)

Values from the calculation:
- DFT total energy: -4.70 eV/atom
- Excess energy over the best structure of this formula in the dataset: 359 meV per atom
- E_form: 0.486 eV/atom

- The highest DFT total energy belongs to which entry?
  Ca2MgCrCl

- What is the DFT total energy in the fourth record?
  -4.70 eV/atom

- Which value of DFT total energy does entry 3 give?
  -4.41 eV/atom

- What is the formula in the fourth record?
  Pm5Dy4Th2